8
Lattice="5.2362 0.0000 0.0000 0.0000 5.2362 0.0000 2.6181 2.6181 9.4135" Properties=species:S:1:pos:R:3 comment="BaInGe2, relaxed, DFT GGA-PBE" e_form_ev_per_atom=-0.143 pbc="T T T"
Ge 3.1905 1.3090 2.3534
Ba 0.0000 0.0000 0.0000
In 2.6181 5.2362 4.7068
In 2.6181 2.6181 0.0000
Ge 2.0457 3.9271 2.3534
Ge 6.5452 5.8086 7.0601
Ge 3.9271 4.6638 7.0601
Ba 5.2362 2.6181 4.7068